The following is a PBE calculation of crystalline Zr2Pd2Au at its relaxed geometry, from Alexandria via LeMat-Bulk.

Crystal system: tetragonal
Total energy in hartree per atom: -0.23604
Energy relative to the lowest polymorph listed for this composition in eV/atom: 0.373
Energy of formation in eV/atom: -0.27

Geometry as POSCAR:
```
Zr2Pd2Au
1.0
-2.542 2.542 4.034
2.542 -2.542 4.034
2.542 2.542 -4.034
Zr Pd Au
2 2 1
direct
0.250 0.750 0.500
0.750 0.250 0.500
0.150 0.150 0.000
0.850 0.850 0.000
0.500 0.500 0.000
```